(1)
A geometry-optimized Zr4Zn3 structure, computed with PBE-GGA.

Cell: 8.2887 8.2887 4.5873 Å, 90.00 90.00 120.00°
Atoms (fractional coordinates):
Zr 0.0046 0.2375 0.2500
Zr 0.2329 0.9954 0.2500
Zr 0.2375 0.2329 0.7500
Zr 0.3333 0.6667 0.2500
Zr 0.6667 0.3333 0.7500
Zr 0.7625 0.7671 0.2500
Zr 0.7671 0.0046 0.7500
Zr 0.9954 0.7625 0.7500
Zn 0.0746 0.4648 0.7500
Zn 0.3902 0.9254 0.7500
Zn 0.4648 0.3902 0.2500
Zn 0.5352 0.6098 0.7500
Zn 0.6098 0.0746 0.2500
Zn 0.9254 0.5352 0.2500

Summary:
Calculated formation energy   -134 meV/atom
Total moment   0.03 μB/f.u.
Symmetry   No. 176
Relative energy among the computed polymorphs   0 meV per atom


(2)
A geometry-optimized TlAgSnTe3 structure, computed with PBE-GGA.

Cell: 8.4119 4.2560 10.9245 Å, 90.00 105.93 90.00°
Atoms (fractional coordinates):
Tl 0.2434 0.2500 0.1885
Tl 0.7566 0.7500 0.8115
Ag 0.4407 0.2500 0.9101
Ag 0.5593 0.7500 0.0899
Sn 0.1850 0.7500 0.6471
Sn 0.8150 0.2500 0.3529
Te 0.0764 0.7500 0.3635
Te 0.2209 0.7500 0.9329
Te 0.4353 0.2500 0.6478
Te 0.5647 0.7500 0.3522
Te 0.7791 0.2500 0.0671
Te 0.9236 0.2500 0.6365

Summary:
Symmetry   No. 11
Relative energy among the computed polymorphs   18 meV per atom


(3)
A geometry-optimized SmHfNb structure, computed with PBE-GGA.

Cell: 4.8023 4.8023 4.8023 Å, 60.00 60.00 60.00°
Atoms (fractional coordinates):
Sm 0.0000 0.0000 0.0000
Hf 0.7500 0.7500 0.7500
Nb 0.2500 0.2500 0.2500

Summary:
Calculated formation energy   1389 meV/atom
Total moment   0.01 μB/f.u.
Symmetry   No. 216
Relative energy among the computed polymorphs   579 meV per atom


(4)
A geometry-optimized TbAsPbO structure, computed with PBE-GGA.

Cell: 5.6335 5.6335 5.5464 Å, 90.00 90.00 90.00°
Atoms (fractional coordinates):
Tb 0.2500 0.7500 0.0000
Tb 0.7500 0.2500 0.0000
As 0.2500 0.2500 0.0065
As 0.7500 0.7500 0.9935
Pb 0.2500 0.2500 0.5056
Pb 0.7500 0.7500 0.4944
O 0.2500 0.7500 0.5000
O 0.7500 0.2500 0.5000

Summary:
Total moment   0.00 μB/f.u.
Symmetry   No. 129
Relative energy among the computed polymorphs   356 meV per atom


no.,ρ (kg/m3)
1,6828
2,7186
3,8943
4,8623